The following is a DFT calculation (meta-GGA SCAN) of Mg2TlIn at its PBEsol-relaxed geometry.

Cell: 4.405 4.405 9.617 Å, 90.00 90.00 90.00°
Space group I-4m2 (No. 119)
Asymmetric unit:
Mg1 0.000 0.000 0.000 x2
Mg2 0.000 0.500 0.250 x2
Tl1 0.000 0.000 0.500 x2
In1 0.000 0.500 0.750 x2

Computed properties:
DOS at the Fermi energy = 0.374 states/eV per atom
Raw total energy = -1.0672 Ha/atom



The following is a DFT calculation (meta-GGA SCAN) of ZnFe2Co at its PBEsol-relaxed geometry.

Cell: 3.547 3.547 3.617 Å, 90.00 90.00 90.00°
Space group P4/mmm (No. 123)
Asymmetric unit:
Zn1 0.000 0.000 0.000 x1
Fe1 0.000 0.500 0.500 x2
Co1 0.500 0.500 0.000 x1

Computed properties:
DOS at the Fermi energy = 0.433 states/eV per atom
Raw total energy = -0.6198 Ha/atom



The following is a DFT calculation (meta-GGA SCAN) of La2Ni7 at its PBEsol-relaxed geometry.

Cell: 4.9455 4.9455 24.2122 Å, 90.00 90.00 120.00°
Space group P6_3/mmc (No. 194)
Asymmetric unit:
La1 0.3333 0.6667 0.0304 x4
La2 0.3333 0.6667 0.1739 x4
Ni1 0.0000 0.0000 0.0000 x2
Ni2 0.0000 0.0000 0.1688 x4
Ni3 0.1662 0.3325 0.5872 x12
Ni4 0.1671 0.3342 0.7500 x6
Ni5 0.3333 0.6667 0.6680 x4

Computed properties:
DOS at the Fermi energy = 0.687 states/eV per atom
Raw total energy = -0.8240 Ha/atom



The following is a DFT calculation (meta-GGA SCAN) of Tl2SbBr at its PBEsol-relaxed geometry.

Cell: 3.514 4.955 6.528 Å, 90.00 90.08 90.00°
Space group P2/m (No. 10)
Asymmetric unit:
Tl1 0.001 0.000 0.257 x2
Sb1 0.500 0.500 0.000 x1
Br1 0.500 0.500 0.500 x1

Computed properties:
Polymorph energy (0 for the lowest one) = 145 meV/atom
DOS at the Fermi energy = 0.383 states/eV per atom
Uncorrected formation energy = -151.1 meV per atom



The following is a DFT calculation (meta-GGA SCAN) of Sc2InPt at its PBEsol-relaxed geometry.

Cell: 4.635 4.635 3.557 Å, 90.00 90.00 90.00°
Space group P4/mmm (No. 123)
Asymmetric unit:
Sc1 0.000 0.500 0.000 x2
In1 0.000 0.000 0.500 x1
Pt1 0.500 0.500 0.500 x1

Computed properties:
DOS at the Fermi energy = 0.500 states/eV per atom
Raw total energy = -1.2491 Ha/atom



The following is a DFT calculation (meta-GGA SCAN) of Mo at its PBEsol-relaxed geometry.

Cell: 4.994 4.994 2.609 Å, 90.00 90.00 90.00°
Space group I4_1/amd (No. 141, origin choice 2)
Asymmetric unit:
Mo1 0.000 0.250 0.375 x4

Computed properties:
Polymorph energy (0 for the lowest one) = 878 meV/atom
DOS at the Fermi energy = 0.849 states/eV per atom



The following is a DFT calculation (meta-GGA SCAN) of Be2CoCu at its PBEsol-relaxed geometry.

Cell: 5.736 5.736 4.731 Å, 90.00 90.00 90.00°
Space group I-42d (No. 122)
Asymmetric unit:
Be1 0.247 0.750 0.125 x8
Co1 0.000 0.000 0.000 x4
Cu1 0.000 0.000 0.500 x4

Computed properties:
DOS at the Fermi energy = 0.177 states/eV per atom
Raw total energy = -0.3694 Ha/atom



The following is a DFT calculation (meta-GGA SCAN) of LiLaMn at its PBEsol-relaxed geometry.

Cell: 6.491 6.491 6.491 Å, 90.00 90.00 90.00°
Space group F-43m (No. 216)
Asymmetric unit:
Li1 0.000 0.000 0.000 x4
La1 0.250 0.250 0.250 x4
Mn1 0.250 0.250 0.750 x4

Computed properties:
Polymorph energy (0 for the lowest one) = 344 meV/atom
DOS at the Fermi energy = 0.810 states/eV per atom



Q: Number 1 is which compound?
A: Mg2TlIn



Q: The lowest DOS at the Fermi energy belongs to which entry?
A: Be2CoCu



Q: Which of these has the highest DOS at the Fermi energy?
A: Mo



Q: What is the DOS at the Fermi energy in the fourth record?
A: 0.383 states/eV per atom